A relaxed structure of KZr4Pt. Source: Alexandria via LeMat-Bulk, functional PBEsol.

abc: 5.7226 5.7226 5.7226
angles: 60.00 60.00 60.00
Atoms (fractional coordinates):
K: 0.7500 0.7500 0.7500
Pt: 0.0000 0.0000 0.0000
Zr: 0.3725 0.3725 0.3725
Zr: 0.3725 0.3725 0.8826
Zr: 0.8826 0.3725 0.3725
Zr: 0.3725 0.8826 0.3725

## Properties
The size of the total moment comes out at 0.00 μB per cell. The calculation puts the formation energy at 0.641 eV/atom. The calculated volume is 132.51 Å³ per cell. For the electronic total energy, the calculation gives -6.7685 eV/atom.